KReAu3S4 (PBE, optimized geometry); space group = P-43m, No. 215; raw total energy = -4.445 eV/atom
1.0
6.251 0.000 0.000
0.000 6.251 0.000
0.000 0.000 6.251
K Re Au S
1 1 3 4
Cartesian
0.000 0.000 0.000
3.126 3.126 3.126
0.000 3.126 3.126
3.126 0.000 3.126
3.126 3.126 0.000
1.807 1.807 1.807
1.807 4.444 4.444
4.444 1.807 4.444
4.444 4.444 1.807